Entry 1:
The following is a PBE calculation of a relaxed SmHoScTl crystal, from Alexandria via LeMat-Bulk.

Computed properties:
**ΔH_f (0 K)**: -173 meV per atom
**Density of states at the Fermi level**: 5.5 states/eV/cell
**Distance to the lowest polymorph of the same formula**: 0 meV/atom

Lattice parameters (Å, degrees): 4.746 4.783 4.793 90.00 90.00 90.00
Atoms (fractional coordinates):
Sm (0.000, 0.000, 0.000)
Ho (0.500, 0.000, 0.500)
Sc (0.500, 0.500, 0.000)
Tl (0.000, 0.500, 0.500)

Entry 2:
The following is a PBE calculation of a relaxed BaMg2CdIn2 crystal, from Alexandria via LeMat-Bulk.

Computed properties:
**ΔH_f (0 K)**: -118 meV per atom
**Density of states at the Fermi level**: 7.4 states/eV/cell

Lattice parameters (Å, degrees): 6.935 9.699 5.269 90.00 90.00 90.00
Atoms (fractional coordinates):
Ba (0.000, 0.000, 0.000)
Ba (0.500, 0.500, 0.500)
Mg (0.165, 0.374, 0.000)
Mg (0.335, 0.874, 0.500)
Mg (0.665, 0.126, 0.500)
Mg (0.835, 0.626, 0.000)
Cd (0.000, 0.500, 0.500)
Cd (0.500, 0.000, 0.000)
In (0.183, 0.203, 0.500)
In (0.317, 0.703, 0.000)
In (0.683, 0.297, 0.000)
In (0.817, 0.797, 0.500)

Entry 3:
The following is a PBE calculation of a relaxed FeAsC crystal, from Alexandria via LeMat-Bulk.

Computed properties:
**ΔH_f (0 K)**: 469 meV per atom
**Density of states at the Fermi level**: 1.9 states/eV/cell
**Distance to the lowest polymorph of the same formula**: 31 meV/atom

Lattice parameters (Å, degrees): 6.940 6.940 4.959 103.91 103.91 24.25
Atoms (fractional coordinates):
Fe (0.000, 0.000, 0.000)
Fe (0.026, 0.026, 0.541)
As (0.399, 0.399, 0.237)
As (0.689, 0.689, 0.492)
C (0.117, 0.117, 0.282)
C (0.510, 0.510, 0.767)

Question: The highest ΔH_f (0 K) belongs to which entry?
Answer: FeAsC

Please write out number 1 again, unchanged.
The following is a PBE calculation of a relaxed SmHoScTl crystal, from Alexandria via LeMat-Bulk.

Computed properties:
**ΔH_f (0 K)**: -173 meV per atom
**Density of states at the Fermi level**: 5.5 states/eV/cell
**Distance to the lowest polymorph of the same formula**: 0 meV/atom

Lattice parameters (Å, degrees): 4.746 4.783 4.793 90.00 90.00 90.00
Atoms (fractional coordinates):
Sm (0.000, 0.000, 0.000)
Ho (0.500, 0.000, 0.500)
Sc (0.500, 0.500, 0.000)
Tl (0.000, 0.500, 0.500)